No. 1
Material: GaTeSN2
Method: DFT, PBE
State: optimized geometry

Lattice parameters (Å, degrees): 3.991 3.991 4.912 90.00 90.00 90.00
Last column: magnetic moment on the atom in μB.
Fractional coordinates of all 5 atoms:
S 0.000 0.000 0.500  0.05
Te 0.500 0.500 0.500  -0.10
Ga 0.000 0.000 0.000  -0.01
N 0.000 0.500 0.000  0.77
N 0.500 0.000 0.000  0.77

No. 2
Material: LaScI2
Method: DFT, PBE
State: optimized geometry

Lattice parameters (Å, degrees): 5.329 5.329 10.864 75.80 75.80 90.00
Last column: magnetic moment on the atom in μB.
Fractional coordinates of all 8 atoms:
I 0.610 0.125 0.250  0.00
I 0.140 0.625 0.250  0.00
I 0.375 0.390 0.750  0.00
I 0.875 0.860 0.750  0.00
Sc 0.500 0.500 0.000  -0.20
Sc 0.250 0.750 0.500  -0.20
La 0.000 0.000 0.000  -0.09
La 0.750 0.250 0.500  -0.09

No. 3
Material: InBi2Br6
Method: DFT, PBE
State: optimized geometry

Lattice parameters (Å, degrees): 7.451 10.313 10.313 86.86 82.85 82.85
Fractional coordinates of all 18 atoms:
In 0.250 0.115 0.885
In 0.750 0.885 0.115
Bi 0.508 0.671 0.848
Bi 0.992 0.152 0.329
Bi 0.492 0.329 0.152
Bi 0.008 0.848 0.671
Br 0.863 0.592 0.721
Br 0.637 0.279 0.408
Br 0.137 0.408 0.279
Br 0.363 0.721 0.592
Br 0.902 0.889 0.398
Br 0.598 0.602 0.111
Br 0.098 0.111 0.602
Br 0.402 0.398 0.889
Br 0.147 0.801 0.952
Br 0.353 0.048 0.199
Br 0.853 0.199 0.048
Br 0.647 0.952 0.801

The evaluated E for the records listed, in turn: -20.832 -16.204 -25.873 eV/f.u..
The evaluated uncorrected formation energy for the records listed, in turn: 1.223 -0.461 -0.593 eV/atom.